(1)
Below is a geometry-optimized TmGe2IrRh structure, with properties calculated at the PBE level.

```
5
Lattice="4.138 0.000 0.000 0.000 4.138 0.000 -2.069 -2.069 5.136" Properties=species:S:1:pos:R:3 pbc="T T T"
Tm 0.000 0.000 0.000
Ge 2.069 2.069 1.235
Ge 0.000 0.000 3.901
Ir 0.000 2.069 2.568
Rh 2.069 0.000 2.568
```

ΔE_f (eV/atom): -0.794
E_tot (eV per atom): -6.778



(2)
Below is a geometry-optimized Y2Ge4Ir3Rh structure, with properties calculated at the PBE level.

```
10
Lattice="-2.513 -3.301 0.815 3.164 -2.642 -0.941 2.982 0.121 9.690" Properties=species:S:1:pos:R:3 pbc="T T T"
Y -0.523 -1.621 2.791
Y 3.830 -1.230 6.836
Ge 0.325 -2.971 -0.063
Ge 0.000 0.000 0.000
Ge 0.626 -1.574 6.525
Ge 2.681 -1.276 3.103
Ir 1.491 0.060 4.845
Ir 1.339 -1.545 8.842
Ir 1.969 -1.305 0.786
Rh 1.816 -2.911 4.782
```

ΔE_f (eV/atom): -0.795
E_tot (eV per atom): -7.329



(3)
Below is a geometry-optimized Y2Ge4IrRh3 structure, with properties calculated at the PBE level.

```
10
Lattice="4.215 0.000 0.000 0.000 4.215 0.000 0.000 0.000 10.097" Properties=species:S:1:pos:R:3 pbc="T T T"
Y 2.108 0.000 2.479
Y 0.000 2.108 7.618
Ge 2.108 2.108 0.000
Ge 0.000 0.000 0.000
Ge 2.108 0.000 6.387
Ge 0.000 2.108 3.710
Ir 2.108 2.108 5.049
Rh 0.000 0.000 5.049
Rh 2.108 0.000 8.800
Rh 0.000 2.108 1.297
```

ΔE_f (eV/atom): -0.835
E_tot (eV per atom): -7.066



(4)
Below is a geometry-optimized Ge2IrRu structure, with properties calculated at the PBE level.

```
4
Lattice="-2.876 1.540 -0.205 -1.695 -2.817 2.624 1.059 2.415 3.277" Properties=species:S:1:pos:R:3 pbc="T T T"
Ru -1.756 0.569 2.848
Ge 0.530 1.207 1.638
Ge -0.847 -1.408 1.312
Ir -1.438 0.770 -0.102
```

ΔE_f (eV/atom): -0.127
E_tot (eV per atom): -6.969
Distance to the lowest polymorph of the same formula (meV per atom): 0



(5)
Below is a geometry-optimized Ge2IrRu structure, with properties calculated at the PBE level.

```
4
Lattice="0.000 3.075 3.075 3.075 0.000 3.075 3.075 3.075 0.000" Properties=species:S:1:pos:R:3 pbc="T T T"
Ru 0.000 0.000 0.000
Ge 1.538 1.538 1.538
Ge 4.613 4.613 4.613
Ir 3.075 3.075 3.075
```

ΔE_f (eV/atom): -0.103
E_tot (eV per atom): -6.946
Distance to the lowest polymorph of the same formula (meV per atom): 24



(6)
Below is a geometry-optimized Ge6IrRu3 structure, with properties calculated at the PBE level.

```
20
Lattice="6.249 0.000 0.986 0.000 6.396 0.000 1.323 0.000 8.465" Properties=species:S:1:pos:R:3 pbc="T T T"
Ge 5.350 0.878 8.486
Ge 4.866 1.227 5.703
Ge 4.686 3.041 2.420
Ge 2.886 3.355 7.030
Ge 2.705 5.169 3.748
Ge 2.222 5.518 0.965
Ge 1.564 2.320 3.760
Ge 1.081 1.971 0.978
Ge 2.223 0.157 6.160
Ge 5.349 6.239 3.291
Ge 6.491 4.424 8.473
Ge 6.007 4.076 5.690
Ir 3.786 3.198 4.725
Ir 0.000 0.000 0.000
Ru 4.315 5.479 6.942
Ru 3.124 3.198 0.493
Ru 3.257 0.917 2.509
Ru 0.529 4.115 2.216
Ru 0.661 0.000 4.233
Ru 7.043 2.281 7.234
```

ΔE_f (eV/atom): -0.157
E_tot (eV per atom): -6.596